A relaxed structure of La2Sn6Rh, computed with PBE.

CIF file:
```
data_La2Sn6Rh
_symmetry_space_group_name_H-M 'C m m m'
_symmetry_Int_Tables_number 65
_symmetry_space_group_name_Hall '-C 2 2'
_cell_length_a 7.871
_cell_length_b 15.184
_cell_length_c 4.380
_cell_angle_alpha 90.00
_cell_angle_beta 90.00
_cell_angle_gamma 90.00
loop_
_atom_site_label
_atom_site_fract_x
_atom_site_fract_y
_atom_site_fract_z
La1 0.000 0.180 0.000
Sn1 0.186 0.346 0.500
Sn2 0.212 0.500 0.000
Rh1 0.000 0.500 0.500
```

Results
Energy above the lowest structure with this stoichiometry = 0.150 eV per atom
Calculated total energy = -5.007 eV/atom
Formation energy from the elements = -426 meV/atom